No. 1
Below is a geometry-optimized Dy2HoErIr4 structure, with properties calculated at the GGA-PBE level.

abc: 4.818 4.818 6.815
angles: 90.00 90.00 90.00
Atoms (fractional coordinates):
Dy1 0.000 0.000 0.000
Dy2 0.500 0.500 0.500
Er1 0.000 0.000 0.500
Ho1 0.500 0.500 0.000
Ir1 0.500 0.000 0.250
Ir2 0.000 0.500 0.250
Ir3 0.500 0.000 0.750
Ir4 0.000 0.500 0.750

Results
Density = 14.97 g cm⁻³
SG = No. 123
Calculated total energy = -7.565 eV per atom


No. 2
Below is a geometry-optimized NdY2Mg3Hg2Au structure, with properties calculated at the GGA-PBE level.

abc: 4.228 7.783 7.783
angles: 120.30 90.00 90.00
Atoms (fractional coordinates):
Au1 0.000 0.996 0.996
Hg1 0.500 0.672 0.331
Hg2 0.500 0.331 0.672
Mg1 0.500 0.998 0.240
Mg2 0.500 0.760 0.760
Mg3 0.500 0.240 0.998
Nd1 0.000 0.406 0.406
Y1 0.000 0.597 0.000
Y2 0.000 0.000 0.597

Results
Density = 7.46 g cm⁻³
SG = No. 38
Calculated total energy = -3.417 eV per atom


No. 3
Below is a geometry-optimized ZrSc2Pd structure, with properties calculated at the GGA-PBE level.

abc: 4.856 4.856 4.856
angles: 60.00 60.00 60.00
Atoms (fractional coordinates):
Pd1 0.000 0.000 0.000
Sc1 0.250 0.250 0.250
Sc2 0.500 0.500 0.500
Zr1 0.750 0.750 0.750

Results
Density = 5.90 g cm⁻³
SG = No. 216
Calculated total energy = -6.770 eV per atom


No. 4
Below is a geometry-optimized ScCoAg2 structure, with properties calculated at the GGA-PBE level.

abc: 4.542 4.542 4.542
angles: 60.00 60.00 60.00
Atoms (fractional coordinates):
Ag1 0.000 0.000 0.000
Ag2 0.750 0.750 0.750
Co1 0.250 0.250 0.250
Sc1 0.500 0.500 0.500

Results
Density = 8.01 g cm⁻³
SG = No. 216
Calculated total energy = -4.749 eV per atom


No. 5
Below is a geometry-optimized TbGePO structure, with properties calculated at the GGA-PBE level.

abc: 4.142 5.547 6.226
angles: 90.00 90.00 90.00
Atoms (fractional coordinates):
Ge1 0.000 0.845 0.481
Ge2 0.000 0.155 0.981
O1 0.500 0.910 0.402
O2 0.500 0.090 0.902
P1 0.000 0.433 0.293
P2 0.000 0.567 0.793
Tb1 0.500 0.732 0.078
Tb2 0.500 0.268 0.578

Results
Density = 6.47 g cm⁻³
SG = No. 26
Energy above the lowest structure with this stoichiometry = 116 meV per atom


No. 6
Below is a geometry-optimized CuTcGeMo structure, with properties calculated at the GGA-PBE level.

abc: 4.301 4.301 4.301
angles: 60.00 60.00 60.00
Atoms (fractional coordinates):
Cu1 0.750 0.750 0.750
Ge1 0.250 0.250 0.250
Mo1 0.000 0.000 0.000
Tc1 0.500 0.500 0.500

Results
Density = 9.74 g cm⁻³
SG = No. 216
Energy above the lowest structure with this stoichiometry = 32 meV per atom


No. 7
Below is a geometry-optimized CsGdCuSe3 structure, with properties calculated at the GGA-PBE level.

abc: 8.281 8.281 10.930
angles: 90.00 90.00 151.35
Atoms (fractional coordinates):
Cs1 0.259 0.741 0.250
Cs2 0.741 0.259 0.750
Cu1 0.535 0.465 0.250
Cu2 0.465 0.535 0.750
Gd1 0.000 0.000 0.000
Gd2 0.000 0.000 0.500
Se1 0.619 0.381 0.064
Se2 0.946 0.054 0.250
Se3 0.619 0.381 0.436
Se4 0.381 0.619 0.564
Se5 0.054 0.946 0.750
Se6 0.381 0.619 0.936

Results
Density = 5.46 g cm⁻³
SG = No. 63
Calculated total energy = -4.474 eV per atom


No. 8
Below is a geometry-optimized Tc2Se3S structure, with properties calculated at the GGA-PBE level.

abc: 11.237 11.237 6.120
angles: 90.02 90.02 15.96
Atoms (fractional coordinates):
S1 0.071 0.071 0.746
Se1 0.568 0.568 0.259
Se2 0.436 0.436 0.259
Se3 0.922 0.922 0.746
Tc1 0.002 0.002 0.037
Tc2 0.501 0.501 0.609

Results
Density = 3.63 g cm⁻³
SG = No. 8
Energy above the lowest structure with this stoichiometry = 153 meV per atom


| no. | volume (Å³/f.u.) | total magnetic moment (μB per cell) |
| --- | --- | --- |
| 1 | 158.23 | 0.0 |
| 2 | 221.14 | 0.2 |
| 3 | 80.96 | 0.5 |
| 4 | 66.28 | 0.3 |
| 5 | 71.53 | 0.0 |
| 6 | 56.26 | 0.0 |
| 7 | 179.67 | 0.3 |
| 8 | 212.55 | 0.0 |